Compound: Zr3Sc
Source: the Alexandria database
Functional: PBEsol
Structure: optimized geometry

As for the crystal system: orthorhombic. The calculated volume comes out at 179.76 Å³ per cell. For the formation energy, the calculation gives -0.008 eV per atom. For the energy above the most stable polymorph in this dataset, the calculation gives 0.0019 eV/atom. Its uncorrected energy is -67.8 eV per cell.

It has space group Imm2 (No. 44), with a = 3.195 Å, b = 10.127 Å, c = 5.555 Å, α = 90.00°, β = 90.00° and γ = 90.00°. The inequivalent atoms are Zr at (0.000, 0.000, 0.000), Zr at (0.000, 0.250, 0.669) and Sc at (0.000, 0.500, 0.997).

Compound: ZrSc2
Source: the Alexandria database
Functional: PBEsol
Structure: optimized geometry

As for the crystal system: hexagonal. The calculated volume comes out at 134.98 Å³ per cell. For the formation energy, the calculation gives 0.058 eV per atom. Its uncorrected energy is -44.3 eV per cell.

It has space group P6_3/mmc (No. 194), with a = 4.9659 Å, b = 4.9659 Å, c = 6.3205 Å, α = 90.00°, β = 90.00° and γ = 120.00°. The inequivalent atoms are Zr at (0.3333, 0.6667, 0.2500), Sc at (0.0000, 0.0000, 0.0000) and Sc at (0.3333, 0.6667, 0.7500).